Here is a geometry-optimized CsRb2VF6 structure from Alexandria via LeMat-Bulk. Energies are from PBE+U.

Cell: 6.708 6.708 9.617 Å, 90.00 90.00 90.00°
Space group I4/mmm (No. 139)
One atom of each set of equivalent atoms:
Cs: 0.000 0.000 0.000 (multiplicity 2)
Rb: 0.000 0.500 0.250 (multiplicity 4)
V: 0.000 0.000 0.500 (multiplicity 2)
F: 0.000 0.000 0.290 (multiplicity 4)
F: 0.206 0.206 0.500 (multiplicity 8)

## Properties
crystal system: tetragonal
energy relative to the lowest polymorph listed for this composition: 0.45 eV per formula unit
total moment: 4.0 μB/cell